1.
The following is a GGA-PBE calculation of RbAlCBr2 after structural relaxation, from the Alexandria database.

```
data_RbAlCBr2
_cell_length_a 5.950
_cell_length_b 5.950
_cell_length_c 3.719
_cell_angle_alpha 90.00
_cell_angle_beta 90.00
_cell_angle_gamma 90.00
_symmetry_space_group_name_H-M 'P 4/m m m'
_symmetry_Int_Tables_number 123
_symmetry_space_group_name_Hall '-P 4 2'
loop_
_atom_site_label
_atom_site_type_symbol
_atom_site_fract_x
_atom_site_fract_y
_atom_site_fract_z
Rb1 Rb 0.000 0.000 0.000
Al1 Al 0.500 0.500 0.000
C1 C 0.500 0.500 0.500
Br1 Br 0.000 0.500 0.500
```

Summary:
raw formation energy = 0.043 eV/atom
total moment = 0.0 μB/cell

2.
The following is a GGA-PBE calculation of Rb2AlCBr6 after structural relaxation, from the Alexandria database.

```
data_Rb2AlCBr6
_cell_length_a 7.347
_cell_length_b 7.347
_cell_length_c 10.437
_cell_angle_alpha 90.00
_cell_angle_beta 90.00
_cell_angle_gamma 90.00
_symmetry_space_group_name_H-M 'I 4/m m m'
_symmetry_Int_Tables_number 139
_symmetry_space_group_name_Hall '-I 4 2'
loop_
_atom_site_label
_atom_site_type_symbol
_atom_site_fract_x
_atom_site_fract_y
_atom_site_fract_z
Rb1 Rb 0.000 0.500 0.250
Al1 Al 0.000 0.000 0.000
C1 C 0.000 0.000 0.500
Br1 Br 0.000 0.000 0.247
Br2 Br 0.249 0.249 0.500
```

Summary:
raw formation energy = -0.523 eV/atom
total moment = 0.0 μB/cell

3.
The following is a GGA-PBE calculation of AlReC2Br after structural relaxation, from the Alexandria database.

```
data_AlReC2Br
_cell_length_a 3.904
_cell_length_b 3.904
_cell_length_c 4.964
_cell_angle_alpha 90.00
_cell_angle_beta 90.00
_cell_angle_gamma 90.00
_symmetry_space_group_name_H-M 'P 4/m m m'
_symmetry_Int_Tables_number 123
_symmetry_space_group_name_Hall '-P 4 2'
loop_
_atom_site_label
_atom_site_type_symbol
_atom_site_fract_x
_atom_site_fract_y
_atom_site_fract_z
Al1 Al 0.000 0.000 0.000
Re1 Re 0.500 0.500 0.000
C1 C 0.000 0.500 0.500
Br1 Br 0.500 0.500 0.500
```

Summary:
raw formation energy = 3.100 eV/atom
total moment = 0.0 μB/cell

4.
The following is a GGA-PBE calculation of Al2CSBr after structural relaxation, from the Alexandria database.

```
data_Al2CSBr
_cell_length_a 4.865
_cell_length_b 4.865
_cell_length_c 5.167
_cell_angle_alpha 90.00
_cell_angle_beta 90.00
_cell_angle_gamma 90.00
_symmetry_space_group_name_H-M 'P 4/m m m'
_symmetry_Int_Tables_number 123
_symmetry_space_group_name_Hall '-P 4 2'
loop_
_atom_site_label
_atom_site_type_symbol
_atom_site_fract_x
_atom_site_fract_y
_atom_site_fract_z
Al1 Al 0.000 0.500 0.000
C1 C 0.000 0.000 0.500
S1 S 0.500 0.500 0.000
Br1 Br 0.500 0.500 0.500
```

Summary:
raw formation energy = 1.651 eV/atom
total moment = 2.0 μB/cell

5.
The following is a GGA-PBE calculation of Al2CSeBr after structural relaxation, from the Alexandria database.

```
data_Al2CSeBr
_cell_length_a 5.339
_cell_length_b 5.339
_cell_length_c 3.887
_cell_angle_alpha 90.00
_cell_angle_beta 90.00
_cell_angle_gamma 90.00
_symmetry_space_group_name_H-M 'P 4/m m m'
_symmetry_Int_Tables_number 123
_symmetry_space_group_name_Hall '-P 4 2'
loop_
_atom_site_label
_atom_site_type_symbol
_atom_site_fract_x
_atom_site_fract_y
_atom_site_fract_z
Al1 Al 0.000 0.500 0.000
C1 C 0.000 0.000 0.500
Se1 Se 0.500 0.500 0.500
Br1 Br 0.000 0.000 0.000
```

Summary:
raw formation energy = 1.538 eV/atom
total moment = 0.0 μB/cell

6.
The following is a GGA-PBE calculation of TiAlCBr2 after structural relaxation, from the Alexandria database.

```
data_TiAlCBr2
_cell_length_a 4.851
_cell_length_b 4.851
_cell_length_c 5.568
_cell_angle_alpha 90.00
_cell_angle_beta 90.00
_cell_angle_gamma 90.00
_symmetry_space_group_name_H-M 'P 4/m m m'
_symmetry_Int_Tables_number 123
_symmetry_space_group_name_Hall '-P 4 2'
loop_
_atom_site_label
_atom_site_type_symbol
_atom_site_fract_x
_atom_site_fract_y
_atom_site_fract_z
Ti1 Ti 0.000 0.000 0.000
Al1 Al 0.000 0.000 0.500
C1 C 0.500 0.500 0.000
Br1 Br 0.000 0.500 0.500
```

Summary:
raw formation energy = 1.662 eV/atom
total moment = 2.8 μB/cell

7.
The following is a GGA-PBE calculation of CaAlBr2 after structural relaxation, from the Alexandria database.

```
data_CaAlBr2
_cell_length_a 4.403
_cell_length_b 5.711
_cell_length_c 5.473
_cell_angle_alpha 90.00
_cell_angle_beta 113.68
_cell_angle_gamma 90.00
_symmetry_space_group_name_H-M 'P 1 m 1'
_symmetry_Int_Tables_number 6
loop_
_symmetry_equiv_pos_as_xyz
'x,y,z'
'x,-y,z'
loop_
_atom_site_label
_atom_site_type_symbol
_atom_site_fract_x
_atom_site_fract_y
_atom_site_fract_z
Ca1 Ca 0.000 0.000 0.000
Al1 Al 0.400 0.500 0.803
Br1 Br 0.087 0.500 0.177
Br2 Br 0.705 0.000 0.411
```

Summary:
ΔE to the lowest computed polymorph = 14.3 kJ per mole of atoms
raw formation energy = -0.822 eV/atom
total moment = 0.9 μB/cell

8.
The following is a GGA-PBE calculation of CaAlBr2 after structural relaxation, from the Alexandria database.

```
data_CaAlBr2
_cell_length_a 3.555
_cell_length_b 3.555
_cell_length_c 10.495
_cell_angle_alpha 90.00
_cell_angle_beta 90.00
_cell_angle_gamma 90.00
_symmetry_space_group_name_H-M 'P 4/m m m'
_symmetry_Int_Tables_number 123
_symmetry_space_group_name_Hall '-P 4 2'
loop_
_atom_site_label
_atom_site_type_symbol
_atom_site_fract_x
_atom_site_fract_y
_atom_site_fract_z
Ca1 Ca 0.000 0.000 0.000
Al1 Al 0.000 0.000 0.500
Br1 Br 0.500 0.500 0.164
```

Summary:
ΔE to the lowest computed polymorph = 10.5 kJ per mole of atoms
raw formation energy = -0.862 eV/atom
total moment = 0.0 μB/cell